# Ti2VSbC

Crystalline Ti2VSbC at its relaxed geometry (PBE-GGA, the Alexandria database).

Results
For the total energy, the calculation gives -8.07 eV/atom. The calculation puts the formation energy from raw total energies at -9.664 kcal/mol of atoms. The symmetry is P4/mmm, No. 123.

Lattice parameters (Å, degrees): 4.3187 4.3187 3.9411 90.00 90.00 90.00
With the nearest neighbours (Å) after each atom.
Fractional coordinates of all 5 atoms:
Ti: 0.0000 0.5000 0.0000  2 C 2.16
Ti: 0.5000 0.0000 0.0000  2 C 2.16
V: 0.0000 0.0000 0.5000  2 C 1.97
Sb: 0.5000 0.5000 0.5000  8 Ti 2.92, 4 V 3.05
C: 0.0000 0.0000 0.0000  2 V 1.97, 4 Ti 2.16